Entry 1:
{"formula": "Ca4MgAg", "functional": "PBE", "state": "relaxed", "vol_a3_per_atom": 36.420, "e_above_lowest_polymorph_mev_per_atom": 511, "formation_enthalpy_0k_ev_per_atom": 0.376, "dft_energy_ev_per_atom": -1.70, "lattice_angstrom": [[-6.036, -1.562, 2.615], [-2.833, 4.046, 4.616], [-5.437, 3.681, -1.612]], "species": ["Ca", "Mg", "Ca", "Ca", "Ca", "Ag"], "frac_coords": [[0.375, 0.875, 0.375], [0.750, 0.750, 0.750], [0.375, 0.375, 0.875], [0.375, 0.375, 0.375], [0.875, 0.375, 0.375], [0.000, 0.000, 0.000]]}



Entry 2:
{"formula": "YHgCl", "functional": "PBE", "state": "relaxed", "vol_a3_per_atom": 26.075, "e_above_lowest_polymorph_mev_per_atom": 128, "e_form_raw_ev_per_atom": -0.8484, "dft_energy_ev_per_atom": -3.72, "lattice_angstrom": [[-4.472, -0.043, -1.575], [3.572, -0.909, -2.982], [-0.269, -3.914, 0.870]], "species": ["Cl", "Hg", "Y"], "frac_coords": [[0.000, 0.000, 0.834], [0.333, 0.667, 0.333], [0.667, 0.333, 0.833]]}



Entry 3:
{"formula": "NaAg6S4", "functional": "PBE", "state": "relaxed", "vol_a3_per_atom": 20.620, "e_form_raw_ev_per_atom": -0.1271, "dft_energy_ev_per_atom": -3.30, "lattice_angstrom": [[-5.201, 3.078, -3.253], [-1.131, -3.674, 5.686], [4.637, 3.705, 3.446]], "species": ["Ag", "S", "Ag", "Ag", "Ag", "S", "S", "Na", "S", "Ag", "Ag"], "frac_coords": [[0.500, 0.000, 0.500], [0.000, 0.152, 0.612], [0.303, 0.497, 0.497], [0.500, 0.500, 0.000], [0.697, 0.194, 0.194], [0.461, 0.848, 0.848], [0.000, 0.612, 0.152], [0.000, 0.000, 0.000], [0.539, 0.388, 0.388], [0.000, 0.503, 0.806], [0.000, 0.806, 0.503]]}



Entry 4:
{"formula": "RbNpNiTe3", "functional": "PBE", "state": "relaxed", "vol_a3_per_atom": 34.899, "e_form_raw_ev_per_atom": -0.6342, "dft_energy_ev_per_atom": -5.49, "lattice_angstrom": [[4.296, 0.000, 0.000], [0.000, 10.127, 0.507], [0.000, -4.356, 9.408]], "species": ["Np", "Rb", "Te", "Ni", "Te", "Te", "Ni", "Te", "Rb", "Te", "Np", "Te"], "frac_coords": [[0.250, 0.683, 0.156], [0.750, 0.792, 0.757], [0.750, 0.468, 0.166], [0.750, 0.916, 0.406], [0.250, 0.112, 0.855], [0.250, 0.532, 0.834], [0.250, 0.084, 0.594], [0.250, 0.816, 0.469], [0.250, 0.208, 0.243], [0.750, 0.184, 0.531], [0.750, 0.317, 0.844], [0.750, 0.888, 0.145]]}



Entry 5:
{"formula": "AgPtCl2", "functional": "PBE", "state": "relaxed", "vol_a3_per_atom": 25.543, "e_above_lowest_polymorph_mev_per_atom": 0, "e_form_raw_ev_per_atom": -0.1242, "dft_energy_ev_per_atom": -3.27, "lattice_angstrom": [[7.340, -0.003, 0.125], [6.706, 2.986, 0.125], [-0.788, -0.167, 4.644]], "species": ["Pt", "Cl", "Cl", "Ag"], "frac_coords": [[0.750, 0.750, 0.750], [0.902, 0.902, 0.966], [0.598, 0.598, 0.534], [0.250, 0.250, 0.250]]}



Entry 6:
{"formula": "Tb2YErAs4", "functional": "PBE", "state": "relaxed", "vol_a3_per_atom": 24.745, "formation_enthalpy_0k_ev_per_atom": -1.540, "dft_energy_ev_per_atom": -6.40, "lattice_angstrom": [[4.122, 0.000, 0.000], [0.000, 7.135, -0.141], [0.000, 2.511, 6.681]], "species": ["As", "Tb", "Tb", "Y", "Er", "As", "As", "As"], "frac_coords": [[0.000, 0.253, 0.248], [0.500, 0.000, 0.500], [0.000, 0.000, 0.000], [0.000, 0.500, 0.500], [0.500, 0.500, 0.000], [0.500, 0.252, 0.751], [0.000, 0.747, 0.752], [0.500, 0.748, 0.249]]}



Entry 7:
{"formula": "Ag7HgPd5", "functional": "PBE", "state": "relaxed", "vol_a3_per_atom": 18.402, "formation_enthalpy_0k_ev_per_atom": 0.062, "dft_energy_ev_per_atom": -3.49, "lattice_angstrom": [[-0.567, 2.299, 4.886], [1.935, -4.409, 5.315], [5.978, 3.333, 2.142]], "species": ["Ag", "Ag", "Hg", "Ag", "Pd", "Pd", "Pd", "Ag", "Ag", "Ag", "Pd", "Ag", "Pd"], "frac_coords": [[0.678, 0.322, 0.322], [0.377, 0.623, 0.623], [0.069, 0.931, 0.931], [0.987, 0.354, 0.672], [0.723, 0.777, 0.777], [0.483, 0.007, 0.520], [0.483, 0.520, 0.007], [0.488, 0.209, 0.815], [0.488, 0.815, 0.209], [0.987, 0.672, 0.354], [0.990, 0.520, 0.007], [0.257, 0.243, 0.243], [0.990, 0.007, 0.520]]}



Entry 8:
{"formula": "Ba2InSe3", "functional": "PBE", "state": "relaxed", "vol_a3_per_atom": 34.769, "e_above_lowest_polymorph_mev_per_atom": 65, "e_form_raw_ev_per_atom": -1.3467, "dft_energy_ev_per_atom": -4.19, "lattice_angstrom": [[-1.413, -1.302, 7.527], [-4.894, -5.780, 1.730], [5.180, -5.844, 1.404]], "species": ["Se", "Ba", "In", "Ba", "Se", "Ba", "Se", "Se", "Ba", "In", "Se", "Se"], "frac_coords": [[0.201, 0.136, 0.492], [0.508, 0.178, 0.172], [0.057, 0.943, 0.250], [0.492, 0.822, 0.828], [0.799, 0.864, 0.508], [0.822, 0.492, 0.328], [0.613, 0.387, 0.750], [0.387, 0.613, 0.250], [0.178, 0.508, 0.672], [0.943, 0.057, 0.750], [0.864, 0.799, 0.008], [0.136, 0.201, 0.992]]}



Entry 9:
{"formula": "DyHoFeAu", "functional": "PBE", "state": "relaxed", "vol_a3_per_atom": 21.330, "formation_enthalpy_0k_ev_per_atom": -0.295, "dft_energy_ev_per_atom": -5.52, "lattice_angstrom": [[-4.733, 1.343, 0.456], [-3.561, -2.775, -2.010], [-3.038, -2.602, 2.901]], "species": ["Fe", "Dy", "Au", "Ho"], "frac_coords": [[0.500, 0.500, 0.500], [0.250, 0.250, 0.250], [0.000, 0.000, 0.000], [0.750, 0.750, 0.750]]}



Entry 10:
{"formula": "Ba2Pb2O", "functional": "PBE", "state": "relaxed", "vol_a3_per_atom": 34.048, "e_above_lowest_polymorph_mev_per_atom": 0, "e_form_raw_ev_per_atom": -0.7986, "dft_energy_ev_per_atom": -4.04, "lattice_angstrom": [[-1.417, 2.902, -6.465], [1.715, -6.257, -3.184], [-6.203, -1.947, 0.486]], "species": ["Ba", "Ba", "Pb", "Pb", "Pb", "Ba", "O", "O", "Pb", "Ba"], "frac_coords": [[0.814, 0.686, 0.000], [0.186, 0.314, 0.000], [0.348, 0.152, 0.500], [0.848, 0.348, 0.500], [0.152, 0.652, 0.500], [0.686, 0.186, 0.000], [0.500, 0.500, 0.000], [0.000, 0.000, 0.000], [0.652, 0.848, 0.500], [0.314, 0.814, 0.000]]}



Entry 11:
{"formula": "ZrSc2V2", "functional": "PBE", "state": "relaxed", "vol_a3_per_atom": 19.894, "formation_enthalpy_0k_ev_per_atom": 0.272, "dft_energy_ev_per_atom": -7.62, "lattice_angstrom": [[7.782, 0.000, 0.000], [0.000, 7.782, 0.000], [0.000, 0.000, 3.285]], "species": ["Sc", "Zr", "Sc", "V", "Zr", "V", "V", "Sc", "V", "Sc"], "frac_coords": [[0.302, 0.198, 0.500], [0.000, 0.000, 0.000], [0.198, 0.698, 0.500], [0.091, 0.409, 0.000], [0.500, 0.500, 0.000], [0.409, 0.909, 0.000], [0.909, 0.591, 0.000], [0.698, 0.802, 0.500], [0.591, 0.091, 0.000], [0.802, 0.302, 0.500]]}



Entry 12:
{"formula": "Mn2ZnMo", "functional": "PBE", "state": "relaxed", "vol_a3_per_atom": 13.562, "formation_enthalpy_0k_ev_per_atom": 0.241, "dft_energy_ev_per_atom": -7.37, "lattice_angstrom": [[4.249, 0.000, 0.000], [2.125, 3.680, 0.000], [2.125, 1.227, 3.469]], "species": ["Mn", "Mo", "Zn", "Mn"], "frac_coords": [[0.000, 0.000, 0.000], [0.500, 0.500, 0.500], [0.750, 0.750, 0.750], [0.250, 0.250, 0.250]]}